DFT (GGA-PBEsol) results for In2BBr after structural relaxation.

## Properties
The formation energy from raw total energies is 327 kJ/mol of formula units.

abc: 4.9427 4.9427 4.9427
angles: 60.00 60.00 60.00
Closest atoms and distances in Å follow each position.
Atoms (fractional coordinates):
B  0.0000  0.0000  0.0000  8 In 3.03
Br  0.5000  0.5000  0.5000  8 In 3.03
In  0.2500  0.2500  0.2500  4 Br 3.03, 4 B 3.03
In  0.7500  0.7500  0.7500  4 Br 3.03, 4 B 3.03